12
Lattice="-2.027 -2.684 0.860 4.086 -1.746 4.181 -4.973 5.590 5.731" Properties=species:S:1:pos:R:3 comment="PmNdYN3 (PBE, optimized geometry)" mass_density_g_cm3=7.0 formation_energy_uncorrected_ev_per_atom=-1.278 dos_at_fermi_per_ev_cell=0.06 pbc="T T T"
N -0.162 -2.038 3.768
N -0.731 2.376 9.202
N 0.026 0.947 6.523
N -2.751 3.197 7.003
N -2.940 0.213 4.249
N -2.183 -1.217 1.570
Y -5.255 2.867 7.079
Y 2.342 -1.708 3.693
Pm -2.854 2.500 4.582
Pm -0.059 -1.341 6.189
Nd -2.252 0.836 7.816
Nd -0.661 0.323 2.956